First-principles (PBE) data for crystalline YCuAs2 at its relaxed geometry, as listed in Alexandria via LeMat-Bulk.

- formation enthalpy at 0 K (eV per atom) = -0.68
- magnetic moment (μB/cell) = 0.0
- SG = Cm
- V (A^3/atom) = 20.388

a = 5.743 Å, b = 5.743 Å, c = 4.006 Å
α = 109.23°, β = 109.23°, γ = 41.25°
Fractional coordinates of all 4 atoms:
Y1 0.000 0.000 0.000
Cu1 0.256 0.256 0.732
As1 0.395 0.395 0.376
As2 0.645 0.645 0.754